# 1
# DyEr2Cl

An optimized crystal structure of DyEr2Cl (PBE, the Alexandria database).

a b c (Å): 3.410 3.410 11.316
angles (deg): 81.33 81.33 60.00
Each line ends with the local moment (μB).
Atoms (fractional coordinates):
Er 0.100 0.100 0.699  0.23
Er 0.900 0.900 0.301  0.23
Dy 0.000 0.000 0.000  0.43
Cl 0.500 0.500 0.500  0.00

Properties
Electronic total energy = -4.226 eV per atom
Spin magnetization = 1.21 μB per formula unit
Uncorrected formation energy = -0.33 eV/atom

=====

# 2
# Ce3PuTh12

An optimized crystal structure of Ce3PuTh12 (PBE, the Alexandria database).

a b c (Å): 4.969 4.969 19.899
angles (deg): 90.00 90.00 90.00
Each line ends with the local moment (μB).
Atoms (fractional coordinates):
Th 0.500 0.500 0.000  0.00
Th 0.500 0.000 0.124  -0.01
Th 0.500 0.000 0.876  -0.01
Th 0.000 0.500 0.876  -0.01
Th 0.500 0.000 0.375  0.01
Th 0.500 0.500 0.250  0.00
Th 0.500 0.500 0.750  0.00
Th 0.000 0.500 0.625  0.01
Th 0.500 0.500 0.500  -0.01
Th 0.000 0.500 0.375  0.01
Th 0.000 0.500 0.124  -0.01
Th 0.500 0.000 0.625  0.01
Pu 0.000 0.000 0.000  5.28
Ce 0.000 0.000 0.500  -0.03
Ce 0.000 0.000 0.750  0.00
Ce 0.000 0.000 0.250  0.00

Properties
Electronic total energy = -7.546 eV per atom
Spin magnetization = 5.45 μB per formula unit
Energy relative to the elements = 0.027 eV/atom

=====

# 3
# GaOsSe3

An optimized crystal structure of GaOsSe3 (PBE, the Alexandria database).

a b c (Å): 4.766 4.766 4.766
angles (deg): 90.00 90.00 90.00
Atoms (fractional coordinates):
Se 0.500 0.000 0.000
Se 0.000 0.000 0.500
Se 0.000 0.500 0.000
Os 0.500 0.500 0.500
Ga 0.000 0.000 0.000

Properties
Electronic total energy = -3.599 eV per atom
Spin magnetization = 0.00 μB per formula unit
Uncorrected formation energy = 1.34 eV/atom

=====

# 4
# AcTbPm5Dy2

An optimized crystal structure of AcTbPm5Dy2 (PBE, the Alexandria database).

a b c (Å): 5.571 12.503 9.466
angles (deg): 90.00 90.00 102.87
Atoms (fractional coordinates):
Pm 0.691 0.381 0.224
Pm 0.258 0.517 0.363
Pm 0.309 0.619 0.724
Pm 0.991 0.982 0.031
Pm 0.009 0.018 0.531
Pm 0.476 0.951 0.752
Pm 0.524 0.049 0.252
Pm 0.605 0.210 0.530
Pm 0.742 0.483 0.863
Pm 0.395 0.790 0.030
Ac 0.398 0.796 0.427
Ac 0.602 0.204 0.927
Tb 0.238 0.477 0.037
Tb 0.762 0.523 0.537
Dy 0.827 0.654 0.177
Dy 0.173 0.346 0.677
Dy 0.112 0.225 0.282
Dy 0.888 0.775 0.782

Properties
Electronic total energy = -4.489 eV per atom
Spin magnetization = 0.00 μB per formula unit
Energy relative to the elements = 0.144 eV/atom